[1]
Below is a geometry-optimized YbH2ClO2 structure, with properties calculated at the GGA-PBE level.

The space group is Pnma (No. 62) and the conventional cell measures 12.982, 3.608 and 6.333 Å, with angles of 90.00, 90.00 and 90.00 degrees. The asymmetric unit holds Yb at (0.050, 0.250, 0.248), H at (0.120, 0.250, 0.686), H at (0.155, 0.750, 0.960), Cl at (0.213, 0.750, 0.380), O at (0.049, 0.250, 0.631) and O at (0.082, 0.750, 0.003).

The mass density comes out at 5.43 g/cm3. As for the electronic total energy: -121.680 eV for the cell shown.


[2]
Below is a geometry-optimized V4Ni12Ge structure, with properties calculated at the GGA-PBE level.

The space group is Im-3m (No. 229) and the conventional cell measures 7.424, 7.424 and 7.424 Å, with angles of 90.00, 90.00 and 90.00 degrees. The asymmetric unit holds V at (0.250, 0.250, 0.250), Ni at (0.000, 0.000, 0.299), Ni at (0.000, 0.250, 0.500) and Ge at (0.000, 0.000, 0.000).

The mass density comes out at 7.96 g/cm3. Its formation energy is 0.00 eV per atom.


[3]
Below is a geometry-optimized SrSbOs4 structure, with properties calculated at the GGA-PBE level.

The space group is F-43m (No. 216) and the conventional cell measures 7.625, 7.625 and 7.625 Å, with angles of 90.00, 90.00 and 90.00 degrees. The asymmetric unit holds Sr at (0.000, 0.000, 0.000), Sb at (0.250, 0.250, 0.250) and Os at (0.124, 0.124, 0.624).

The mass density comes out at 14.54 g/cm3. As for the electronic total energy: -187.882 eV for the cell shown.


[4]
Below is a geometry-optimized CdSbSe2 structure, with properties calculated at the GGA-PBE level.

The space group is Pmmm (No. 47) and the conventional cell measures 3.886, 4.048 and 6.923 Å, with angles of 90.00, 90.00 and 90.00 degrees. The asymmetric unit holds Cd at (0.000, 0.000, 0.000), Sb at (0.000, 0.500, 0.500), Se at (0.500, 0.000, 0.500) and Se at (0.500, 0.500, 0.000).

The mass density comes out at 5.98 g/cm3. As for the electronic total energy: -12.049 eV for the cell shown.


[5]
Below is a geometry-optimized PmTlBiPt structure, with properties calculated at the GGA-PBE level.

The space group is F-43m (No. 216) and the conventional cell measures 7.401, 7.401 and 7.401 Å, with angles of 90.00, 90.00 and 90.00 degrees. The asymmetric unit holds Pm at (0.000, 0.000, 0.000), Tl at (0.250, 0.250, 0.250), Bi at (0.000, 0.000, 0.500) and Pt at (0.250, 0.250, 0.750).

The mass density comes out at 12.35 g/cm3. Its formation energy is -0.40 eV per atom.


[6]
Below is a geometry-optimized LaAs2Ru structure, with properties calculated at the GGA-PBE level.

The space group is Immm (No. 71) and the conventional cell measures 4.134, 5.784 and 7.138 Å, with angles of 90.00, 90.00 and 90.00 degrees. The asymmetric unit holds La at (0.000, 0.000, 0.000), As at (0.000, 0.500, 0.195) and Ru at (0.000, 0.000, 0.500).

The mass density comes out at 7.58 g/cm3. Its formation energy is -0.63 eV per atom.


[7]
Below is a geometry-optimized YWI3 structure, with properties calculated at the GGA-PBE level.

The space group is Pm-3m (No. 221) and the conventional cell measures 5.998, 5.998 and 5.998 Å, with angles of 90.00, 90.00 and 90.00 degrees. The asymmetric unit holds Y at (0.000, 0.000, 0.000), W at (0.500, 0.500, 0.500) and I at (0.000, 0.000, 0.500).

The mass density comes out at 5.03 g/cm3. As for the electronic total energy: -21.254 eV for the cell shown.


[8]
Below is a geometry-optimized LiDyEr2Cd4 structure, with properties calculated at the GGA-PBE level.

The space group is R-3m (No. 166, hexagonal axes) and the conventional cell measures 5.1690, 5.1690 and 25.4253 Å, with angles of 90.00, 90.00 and 120.00 degrees. The asymmetric unit holds Li at (0.0000, 0.0000, 0.0000), Dy at (0.0000, 0.0000, 0.5000), Er at (0.0000, 0.0000, 0.2513), Cd at (0.0000, 0.0000, 0.1201) and Cd at (0.0000, 0.0000, 0.3732).

The mass density comes out at 8.07 g/cm3. Its formation energy is -0.27 eV per atom.


[9]
Below is a geometry-optimized LaAlCr2 structure, with properties calculated at the GGA-PBE level.

The space group is P4/mmm (No. 123) and the conventional cell measures 2.758, 2.758 and 8.929 Å, with angles of 90.00, 90.00 and 90.00 degrees. The asymmetric unit holds La at (0.000, 0.000, 0.000), Al at (0.000, 0.000, 0.500) and Cr at (0.500, 0.500, 0.296).

The mass density comes out at 6.60 g/cm3. Its formation energy is 0.65 eV per atom.


[10]
Below is a geometry-optimized BaIr2 structure, with properties calculated at the GGA-PBE level.

The space group is P-3m1 (No. 164) and the conventional cell measures 3.0301, 3.0301 and 7.8407 Å, with angles of 90.00, 90.00 and 120.00 degrees. The asymmetric unit holds Ba at (0.0000, 0.0000, 0.0000) and Ir at (0.3333, 0.6667, 0.3727).

The mass density comes out at 13.90 g/cm3. Its formation energy is 1.04 eV per atom.


[11]
Below is a geometry-optimized NaTl2Hg2Sb structure, with properties calculated at the GGA-PBE level.

The space group is Pmc2_1 (No. 26) and the conventional cell measures 4.833, 9.403 and 7.777 Å, with angles of 90.00, 90.00 and 90.00 degrees. The asymmetric unit holds Na at (0.000, 0.057, 0.000), Tl at (0.000, 0.357, 0.322), Tl at (0.500, 0.418, 0.004), Hg at (0.000, 0.329, 0.723), Hg at (0.500, 0.156, 0.302) and Sb at (0.500, 0.143, 0.693).

The mass density comes out at 8.97 g/cm3. As for the electronic total energy: -22.749 eV for the cell shown.


[12]
Below is a geometry-optimized Ce3Pu2Tl2 structure, with properties calculated at the GGA-PBE level.

The space group is P2_1/c (No. 14) and the conventional cell measures 6.685, 5.743 and 9.987 Å, with angles of 90.00, 98.72 and 90.00 degrees. The asymmetric unit holds Ce at (0.000, 0.000, 0.000), Ce at (0.307, 0.034, 0.691), Pu at (0.415, 0.642, 0.581) and Tl at (0.195, 0.518, 0.849).

The mass density comes out at 11.54 g/cm3. Its formation energy is -0.05 eV per atom.